The following is a PBE calculation of a relaxed Tm7Bi2Pd2 crystal, from Alexandria via LeMat-Bulk.

Cell lengths 6.8965, 7.0118, 6.8965 Å; angles 90.00, 101.33, 90.00 degrees
Positions (direct):
Tm (0.5002, 0.7643, 0.4998)
Tm (0.9998, 0.2446, 0.5003)
Bi (0.8021, 0.5000, 0.8021)
Tm (0.0002, 0.7554, 0.4997)
Tm (0.4997, 0.2446, 0.0002)
Tm (0.4998, 0.2357, 0.5002)
Pd (0.2798, 0.0000, 0.7202)
Bi (0.1979, 0.5000, 0.1979)
Tm (0.0000, 0.0000, 0.0000)
Pd (0.7202, 0.0000, 0.2798)
Tm (0.5003, 0.7554, 0.9998)

Summary:
E_form ... -0.434 eV per atom
SG ... Cmmm (65)

=====

The following is a PBE calculation of a relaxed TmBiPd crystal, from Alexandria via LeMat-Bulk.

Cell lengths 4.7222, 4.7222, 4.7222 Å; angles 60.00, 60.00, 60.00 degrees
Positions (direct):
Tm (0.5000, 0.5000, 0.5000)
Bi (0.0000, 0.0000, 0.0000)
Pd (0.7500, 0.7500, 0.7500)

Summary:
E_form ... -0.910 eV per atom
SG ... F-43m (216)

=====

The following is a PBE calculation of a relaxed Tm4BiPd crystal, from Alexandria via LeMat-Bulk.

Cell lengths 5.4509, 6.3454, 10.3608 Å; angles 90.00, 105.25, 90.00 degrees
Positions (direct):
Tm (0.2986, 0.0716, 0.5973)
Tm (0.1118, 0.8222, 0.2237)
Tm (0.5507, 0.3224, 0.1014)
Pd (0.5838, 0.8221, 0.1676)
Tm (0.2987, 0.5728, 0.5974)
Tm (0.7013, 0.0728, 0.4026)
Pd (0.4162, 0.3221, 0.8324)
Tm (0.4493, 0.8224, 0.8986)
Tm (0.8882, 0.3222, 0.7763)
Bi (0.8510, 0.8223, 0.7019)
Tm (0.7014, 0.5716, 0.4027)
Bi (0.1490, 0.3223, 0.2981)

Summary:
E_form ... -0.413 eV per atom
SG ... Cmcm (63)

=====

The following is a PBE calculation of a relaxed TmBi2Pd7 crystal, from Alexandria via LeMat-Bulk.

Cell lengths 4.0709, 4.0709, 12.2230 Å; angles 99.59, 99.59, 90.00 degrees
Positions (direct):
Pd (0.0867, 0.5867, 0.1734)
Tm (0.0000, 0.0000, 0.0000)
Pd (0.9133, 0.4133, 0.8266)
Pd (0.2500, 0.7500, 0.5000)
Bi (0.6676, 0.6676, 0.3352)
Bi (0.3324, 0.3324, 0.6648)
Pd (0.5000, 0.5000, 0.0000)
Pd (0.7500, 0.2500, 0.5000)
Pd (0.4133, 0.9133, 0.8266)
Pd (0.5867, 0.0867, 0.1734)

Summary:
E_form ... -0.480 eV per atom
SG ... I4/mmm (139)

=====

no.,V (Å³ per atom)
1,29.73
2,24.82
3,28.81
4,19.69